# 1
{
  "formula": "CdCoMoAu",
  "functional": "PBE",
  "state": "optimized geometry",
  "sg": "F-43m (216)",
  "de_polymorph_mev_per_atom": 20.2,
  "lattice_angstrom": [[0.000, 3.161, 3.161], [3.161, 0.000, 3.161], [3.161, 3.161, 0.000]],
  "species": ["Au", "Co", "Mo", "Cd"],
  "frac_coords": [[0.750, 0.750, 0.750], [0.500, 0.500, 0.500], [0.250, 0.250, 0.250], [0.000, 0.000, 0.000]]
}

=====

# 2
{
  "formula": "CdCoPbAu",
  "functional": "PBE",
  "state": "optimized geometry",
  "sg": "F-43m (216)",
  "de_polymorph_mev_per_atom": 0.0,
  "lattice_angstrom": [[0.000, 3.385, 3.385], [3.385, 0.000, 3.385], [3.385, 3.385, 0.000]],
  "species": ["Co", "Cd", "Au", "Pb"],
  "frac_coords": [[0.750, 0.750, 0.750], [0.500, 0.500, 0.500], [0.250, 0.250, 0.250], [0.000, 0.000, 0.000]]
}

=====

# 3
{
  "formula": "CdCoSbAu",
  "functional": "PBE",
  "state": "optimized geometry",
  "sg": "F-43m (216)",
  "de_polymorph_mev_per_atom": 0.0,
  "lattice_angstrom": [[0.000, 3.323, 3.323], [3.323, 0.000, 3.323], [3.323, 3.323, 0.000]],
  "species": ["Co", "Sb", "Au", "Cd"],
  "frac_coords": [[0.750, 0.750, 0.750], [0.000, 0.000, 0.000], [0.250, 0.250, 0.250], [0.500, 0.500, 0.500]]
}